(1)
## PWI2O (PBE with a Hubbard U)

Data for an optimized crystal structure of PWI2O.

Energy above the lowest structure with this stoichiometry in meV per atom: 0
Size of the total moment in μB per formula unit: 0.45
Calculated total energy in eV for the cell shown: -19.25

POSCAR file:
```
PWI2O
1.0
5.696 0.000 0.000
0.000 5.696 0.000
0.000 0.000 3.837
P W I O
1 1 2 1
direct
0.000 0.000 0.000
0.500 0.500 0.500
0.000 0.500 0.500
0.500 0.000 0.500
0.500 0.500 0.000
```

---

(2)
## PWIO2 (PBE with a Hubbard U)

Data for an optimized crystal structure of PWIO2.

Energy above the lowest structure with this stoichiometry in meV per atom: 1159
Size of the total moment in μB per formula unit: 4.65
Calculated total energy in eV for the cell shown: -22.03

POSCAR file:
```
PWIO2
1.0
3.884 0.000 0.000
0.000 3.884 0.000
0.000 0.000 5.849
P W I O
1 1 1 2
direct
0.000 0.000 0.000
0.500 0.500 0.500
0.000 0.000 0.500
0.000 0.500 0.000
0.500 0.000 0.000
```

---

(3)
## PWIO2 (PBE with a Hubbard U)

Data for an optimized crystal structure of PWIO2.

Energy above the lowest structure with this stoichiometry in meV per atom: 0
Size of the total moment in μB per formula unit: 0.98
Calculated total energy in eV for the cell shown: -27.83

POSCAR file:
```
PWIO2
1.0
3.931 0.000 0.000
0.000 3.931 0.000
0.000 0.000 5.546
P W I O
1 1 1 2
direct
0.000 0.000 0.000
0.000 0.000 0.500
0.500 0.500 0.000
0.000 0.500 0.500
0.500 0.000 0.500
```

---

(4)
## P2WIO (PBE with a Hubbard U)

Data for an optimized crystal structure of P2WIO.

Energy above the lowest structure with this stoichiometry in meV per atom: 1149
Size of the total moment in μB per formula unit: 3.10
Calculated total energy in eV for the cell shown: -18.59

POSCAR file:
```
P2WIO
1.0
5.077 0.000 0.000
0.000 5.077 0.000
0.000 0.000 3.897
P W I O
2 1 1 1
direct
0.000 0.500 0.000
0.500 0.000 0.000
0.000 0.000 0.500
0.500 0.500 0.000
0.500 0.500 0.500
```